SmHoHgPt GGA-PBE optimized geometry; energy of formation = -0.7849 eV per atom; magnetization = 0.00 μB/cell; symmetry = F-43m
1.0
5.134 0.000 0.000
2.567 4.446 0.000
2.567 1.482 4.192
Sm Hg Pt Ho
1 1 1 1
Cartesian
5.134 2.964 2.096
2.567 1.482 1.048
7.701 4.446 3.144
0.000 0.000 0.000



Ho6ZrIn5 GGA-PBE optimized geometry; energy of formation = -0.3702 eV per atom; magnetization = 2.71 μB/cell; symmetry = Immm
1.0
0.005 -4.306 -3.116
7.252 -0.977 1.362
-5.434 -1.938 7.202
Ho Zr In
6 1 5
Cartesian
1.216 -1.790 2.476
4.819 -2.275 3.152
1.860 -2.403 -1.209
5.398 -2.880 -0.545
-2.995 -4.946 2.296
0.608 -5.431 2.973
0.000 0.000 0.000
2.383 -3.641 5.036
3.025 -4.173 1.238
3.626 -0.488 0.681
-1.201 -3.048 4.210
-0.560 -3.580 0.412



KLa2Ta GGA-PBE optimized geometry; energy of formation = 0.7257 eV per atom; magnetization = 0.00 μB/cell; E above lowest polymorph = 304.5 meV per atom; symmetry = R3m
1.0
-8.573 7.856 5.148
-10.765 5.606 3.796
-9.425 5.040 6.890
K La Ta
1 2 1
Cartesian
-21.825 14.039 12.014
-28.462 18.308 15.667
-6.968 4.482 3.836
-14.654 9.426 8.066



CoCuMo GGA-PBE optimized geometry; energy of formation = 0.2640 eV per atom; magnetization = 0.59 μB/cell; E above lowest polymorph = 126.8 meV per atom; symmetry = P3m1
1.0
2.666 0.000 0.000
-1.333 2.309 0.000
0.000 0.000 6.408
Co Cu Mo
1 1 1
Cartesian
0.000 0.000 6.403
1.333 0.770 2.050
0.000 1.539 4.363



Li3ScPd GGA-PBE optimized geometry; energy of formation = 0.1352 eV per atom; magnetization = 0.29 μB/cell; E above lowest polymorph = 0.0 meV per atom; symmetry = Pm-3m
1.0
4.617 0.000 0.000
0.000 4.617 0.000
0.000 0.000 4.617
Sc Pd Li
1 1 3
Cartesian
2.308 2.308 2.308
0.000 0.000 0.000
0.000 2.308 0.000
0.000 0.000 2.308
2.308 0.000 0.000



AcMg2Cd3 GGA-PBE optimized geometry; energy of formation = -0.1978 eV per atom; magnetization = 0.00 μB/cell; symmetry = Cmcm
1.0
-4.417 -4.376 0.077
4.606 -4.595 3.069
-2.869 2.999 5.875
Ac Mg Cd
2 4 6
Cartesian
-0.532 -1.620 2.966
-2.148 -4.352 6.054
0.760 -5.119 3.722
2.968 -2.931 3.684
-1.231 1.335 5.260
-3.440 -0.853 5.299
-1.636 -4.936 2.198
-3.986 -2.549 3.080
-1.043 -1.036 6.823
-3.240 -3.348 0.430
0.560 -2.624 8.590
1.306 -3.423 5.940



SrLa2YFe GGA-PBE optimized geometry; energy of formation = 0.0739 eV per atom; magnetization = 0.00 μB/cell; symmetry = P4/mmm
1.0
-4.697 -2.032 1.883
-1.787 -0.610 -5.116
2.198 -5.217 -0.146
Y Sr Fe La
1 1 1 2
Cartesian
1.099 -2.608 -0.073
-2.143 -3.929 -1.690
0.000 0.000 0.000
-0.893 -0.305 -2.558
-2.349 -1.016 0.941



Er2ThSc3 GGA-PBE optimized geometry; energy of formation = 0.0453 eV per atom; magnetization = 0.00 μB/cell; E above lowest polymorph = 0.0 meV per atom; symmetry = C2/m
1.0
5.936 0.000 -0.046
2.968 5.135 -0.023
2.062 0.000 10.872
Er Th Sc
4 2 6
Cartesian
0.000 0.000 0.000
3.999 0.000 5.413
3.999 3.431 5.413
6.967 1.704 5.390
5.936 3.422 -0.046
2.968 1.713 -0.023
6.017 3.398 8.143
2.026 0.000 2.682
4.949 1.737 2.659
7.916 3.398 2.636
3.049 1.737 8.166
5.972 0.000 8.143



NdZnAu3 GGA-PBE optimized geometry; energy of formation = -0.5413 eV per atom; magnetization = 0.00 μB/cell; E above lowest polymorph = 16.2 meV per atom; symmetry = P2_1/m
1.0
-1.818 1.753 4.837
-4.037 -5.214 0.372
6.284 -0.441 2.521
Nd Zn Au
2 2 6
Cartesian
2.436 -1.653 3.052
-2.007 -2.250 4.678
0.000 0.000 0.000
-0.909 0.876 2.419
1.160 -2.226 5.858
2.892 0.039 5.689
0.149 -4.069 3.070
0.280 0.166 4.661
-2.464 -3.942 2.042
-0.731 -1.677 1.872



CeGdN2 GGA-PBE optimized geometry; magnetization = 7.39 μB/cell; formation energy (no corrections) = -1.53 eV per atom; E above lowest polymorph = 10.2 meV per atom; symmetry = P4/mmm
1.0
-0.356 -1.962 2.941
3.534 -0.119 0.349
-0.133 4.165 2.762
Gd Ce N
1 1 2
Cartesian
0.000 0.000 0.000
1.523 1.042 3.026
-0.066 2.082 1.381
1.589 -1.040 1.645



Bi2PBrF GGA-PBE optimized geometry; magnetization = 0.00 μB/cell; formation energy (no corrections) = 0.78 eV per atom; symmetry = P4/mmm
1.0
5.575 0.000 0.000
0.000 4.853 0.000
0.000 0.000 5.575
P Bi Br F
1 2 1 1
Cartesian
0.000 2.427 0.000
0.000 0.000 2.788
2.788 0.000 0.000
0.000 0.000 0.000
2.788 2.427 2.788



Np2TlCuO8 GGA-PBE optimized geometry; magnetization = 1.98 μB/cell; formation energy (no corrections) = -1.97 eV per atom; symmetry = Cmmm
1.0
4.891 0.041 -0.003
0.097 4.889 -0.005
0.004 0.008 6.957
Np Tl Cu O
2 1 1 8
Cartesian
2.498 2.471 5.260
2.495 2.467 1.688
0.002 0.004 3.478
0.000 0.000 0.000
1.096 3.879 1.660
3.418 3.380 -0.006
3.894 1.055 1.661
3.897 1.059 5.288
1.571 1.550 -0.003
1.098 3.883 5.287
3.399 3.364 3.472
1.594 1.574 3.476



HfCoGe GGA-PBE optimized geometry; energy of formation = -0.5649 eV per atom; magnetization = 0.57 μB/cell; symmetry = P-6m2
1.0
3.146 0.000 0.000
0.000 4.122 0.000
0.000 -2.061 3.570
Co Ge Hf
1 1 1
Cartesian
0.524 0.000 2.380
0.524 0.000 0.000
2.097 2.061 1.190